(1)
The following is a DFT calculation (PBE-GGA) of crystalline TcAs2Au2 at its relaxed geometry.

Calculated values
As for the density of states at the Fermi level: 5.96 states/eV per cell. As for the raw total energy: -50.6 eV/cell. For the formation enthalpy at 0 K, the calculation gives 0.18 eV per atom.

abc: 6.338 6.338 4.706
angles: 90.00 90.00 90.00
Space group P4/mbm (No. 127)
Inequivalent atoms, fractional coordinates:
1 Tc 0.000 0.000 0.000 (multiplicity 2)
2 As 0.138 0.362 0.000 (multiplicity 4)
3 Au 0.244 0.256 0.500 (multiplicity 4)

---

(2)
The following is a DFT calculation (PBE-GGA) of crystalline PmPuN2 at its relaxed geometry.

Calculated values
The uncorrected formation energy is -1340 meV per atom. As for the density of states at the Fermi level: 10.79 states/eV per cell. As for the raw total energy: -82.2 eV/cell.

abc: 3.5247 3.5247 11.5877
angles: 90.00 90.00 120.00
Space group P6_3/mmc (No. 194)
Inequivalent atoms, fractional coordinates:
1 Pm 0.3333 0.6667 0.2500 (multiplicity 2)
2 Pu 0.0000 0.0000 0.0000 (multiplicity 2)
3 N 0.3333 0.6667 0.6117 (multiplicity 4)

---

(3)
The following is a DFT calculation (PBE-GGA) of crystalline CeHo6Th3 at its relaxed geometry.

Calculated values
As for the density of states at the Fermi level: 70.57 states/eV per cell. As for the raw total energy: -156.6 eV/cell. For the formation enthalpy at 0 K, the calculation gives 0.35 eV per atom.

abc: 9.8055 9.8055 11.7678
angles: 90.00 90.00 120.00
Space group R3 (No. 146, hexagonal axes)
Inequivalent atoms, fractional coordinates:
1 Ce 0.0000 0.0000 0.0000 (multiplicity 3)
2 Ho 0.9996 0.6645 0.5890 (multiplicity 9)
3 Ho 0.0014 0.3328 0.7472 (multiplicity 9)
4 Th 0.0000 0.0000 0.2383 (multiplicity 3)
5 Th 0.0000 0.0000 0.4998 (multiplicity 3)
6 Th 0.0000 0.0000 0.7609 (multiplicity 3)

---

(4)
The following is a DFT calculation (PBE-GGA) of crystalline ErTmZrAl at its relaxed geometry.

Calculated values
As for the density of states at the Fermi level: 28.52 states/eV per cell. As for the raw total energy: -85.7 eV/cell. For the formation enthalpy at 0 K, the calculation gives -0.02 eV per atom.

abc: 7.249 7.249 7.249
angles: 90.00 90.00 90.00
Space group F-43m (No. 216)
Inequivalent atoms, fractional coordinates:
1 Er 0.000 0.000 0.000 (multiplicity 4)
2 Tm 0.250 0.250 0.250 (multiplicity 4)
3 Zr 0.000 0.000 0.500 (multiplicity 4)
4 Al 0.250 0.250 0.750 (multiplicity 4)